Computed, not measured: a geometry-optimized Y2Zn3 structure at the PBE level of DFT.

Properties
* size of the total moment: 0.000 μB/cell
* DFT formation energy: -0.246 eV/atom
* D(E_F): 5.33 states/eV/f.u.

Lattice parameters (Å, degrees): 7.781 7.781 7.037 90.04 90.04 30.52
Positions (direct):
Y 0.000 0.000 0.237
Y 0.000 0.000 0.763
Y 0.349 0.349 0.500
Y 0.651 0.651 0.500
Zn 0.197 0.197 0.189
Zn 0.197 0.197 0.812
Zn 0.380 0.380 0.000
Zn 0.620 0.620 0.000
Zn 0.803 0.803 0.188
Zn 0.803 0.803 0.811

---

Computed, not measured: a geometry-optimized VGaAu structure at the PBE level of DFT.

Properties
* size of the total moment: 0.000 μB/cell
* DFT formation energy: -0.092 eV/atom
* D(E_F): 2.15 states/eV/f.u.

Lattice parameters (Å, degrees): 2.770 6.454 6.454 24.51 90.00 90.00
Positions (direct):
V 0.000 0.000 0.000
Ga 0.500 0.352 0.352
Au 0.500 0.662 0.662

---

Computed, not measured: a geometry-optimized PaMnCo2 structure at the PBE level of DFT.

Properties
* size of the total moment: 6.871 μB/cell
* DFT formation energy: 0.375 eV/atom
* D(E_F): 5.06 states/eV/f.u.

Lattice parameters (Å, degrees): 5.325 7.167 6.965 90.00 90.00 90.00
Positions (direct):
Pa 0.250 0.000 0.131
Pa 0.250 0.500 0.306
Pa 0.750 0.000 0.869
Pa 0.750 0.500 0.694
Mn 0.250 0.000 0.820
Mn 0.250 0.500 0.740
Mn 0.750 0.000 0.180
Mn 0.750 0.500 0.260
Co 0.000 0.000 0.500
Co 0.000 0.500 0.000
Co 0.250 0.259 0.547
Co 0.250 0.741 0.547
Co 0.500 0.000 0.500
Co 0.500 0.500 0.000
Co 0.750 0.259 0.453
Co 0.750 0.741 0.453

---

Computed, not measured: a geometry-optimized NpScPtRh structure at the PBE level of DFT.

Properties
* size of the total moment: 4.007 μB/cell
* DFT formation energy: -0.640 eV/atom
* D(E_F): 8.40 states/eV/f.u.

Lattice parameters (Å, degrees): 4.770 4.770 4.770 60.00 60.00 60.00
Positions (direct):
Np 0.000 0.000 0.000
Sc 0.500 0.500 0.500
Pt 0.750 0.750 0.750
Rh 0.250 0.250 0.250

---

Computed, not measured: a geometry-optimized MnBeNb2N structure at the PBE level of DFT.

Properties
* size of the total moment: 0.000 μB/cell
* final energy: -34.55 eV/f.u.
* D(E_F): 5.87 states/eV/f.u.

Lattice parameters (Å, degrees): 4.392 4.392 3.629 90.00 90.00 90.00
Positions (direct):
Mn 0.000 0.000 0.000
Be 0.000 0.000 0.500
Nb 0.000 0.500 0.500
Nb 0.500 0.000 0.500
N 0.500 0.500 0.000

---

Computed, not measured: a geometry-optimized Er2ZnF structure at the PBE level of DFT.

Properties
* size of the total moment: 0.001 μB/cell
* final energy: -15.30 eV/f.u.
* D(E_F): 4.74 states/eV/f.u.

Lattice parameters (Å, degrees): 9.685 9.685 9.685 19.69 19.69 19.69
Positions (direct):
Er 0.104 0.104 0.104
Er 0.896 0.896 0.896
Zn 0.000 0.000 0.000
F 0.500 0.500 0.500

---

Computed, not measured: a geometry-optimized YNiSb2 structure at the PBE level of DFT.

Properties
* size of the total moment: 0.003 μB/cell
* final energy: -21.68 eV/f.u.
* D(E_F): 2.52 states/eV/f.u.

Lattice parameters (Å, degrees): 3.295 3.295 8.897 90.00 90.00 90.00
Positions (direct):
Y 0.000 0.000 0.000
Ni 0.500 0.500 0.215
Sb 0.000 0.000 0.367
Sb 0.500 0.500 0.742

---

Computed, not measured: a geometry-optimized RbLaZr2 structure at the PBE level of DFT.

Properties
* size of the total moment: 0.000 μB/cell
* DFT formation energy: 1.103 eV/atom
* D(E_F): 7.29 states/eV/f.u.

Lattice parameters (Å, degrees): 5.563 5.563 5.563 60.00 60.00 60.00
Positions (direct):
Rb 0.000 0.000 0.000
La 0.500 0.500 0.500
Zr 0.250 0.250 0.250
Zr 0.750 0.750 0.750

---

Computed, not measured: a geometry-optimized CaLaNiHg structure at the PBE level of DFT.

Properties
* size of the total moment: 0.000 μB/cell
* DFT formation energy: -0.286 eV/atom
* D(E_F): 2.79 states/eV/f.u.

Lattice parameters (Å, degrees): 5.221 5.221 5.221 60.00 60.00 60.00
Positions (direct):
Ca 0.000 0.000 0.000
La 0.500 0.500 0.500
Ni 0.250 0.250 0.250
Hg 0.750 0.750 0.750

---

Computed, not measured: a geometry-optimized PuHF4 structure at the PBE level of DFT.

Properties
* size of the total moment: 10.000 μB/cell
* final energy: -42.75 eV/f.u.
* D(E_F): 8.20 states/eV/f.u.

Lattice parameters (Å, degrees): 3.864 6.994 6.517 90.00 103.77 90.00
Positions (direct):
Pu 0.228 0.250 0.445
Pu 0.772 0.750 0.555
H 0.043 0.750 0.094
H 0.957 0.250 0.906
F 0.079 0.250 0.082
F 0.154 0.750 0.275
F 0.303 0.553 0.632
F 0.303 0.947 0.632
F 0.697 0.053 0.368
F 0.697 0.447 0.368
F 0.846 0.250 0.725
F 0.921 0.750 0.918

---

Computed, not measured: a geometry-optimized Eu3SnS structure at the PBE level of DFT.

Properties
* size of the total moment: 21.087 μB/cell
* final energy: -44.29 eV/f.u.
* D(E_F): 28.24 states/eV/f.u.

Lattice parameters (Å, degrees): 5.483 5.483 5.483 90.00 90.00 90.00
Positions (direct):
Eu 0.000 0.000 0.500
Eu 0.000 0.500 0.000
Eu 0.500 0.000 0.000
Sn 0.500 0.500 0.500
S 0.000 0.000 0.000

---

Computed, not measured: a geometry-optimized Sn2PtSe structure at the PBE level of DFT.

Properties
* size of the total moment: 0.000 μB/cell
* final energy: -18.54 eV/f.u.
* D(E_F): 0.09 states/eV/f.u.

Lattice parameters (Å, degrees): 7.439 7.439 7.439 128.72 128.72 75.46
Positions (direct):
Sn 0.093 0.625 0.968
Sn 0.375 0.343 0.468
Sn 0.657 0.125 0.032
Sn 0.875 0.907 0.532
Pt 0.000 0.000 0.000
Pt 0.750 0.250 0.500
Se 0.250 0.750 0.500
Se 0.500 0.500 0.000

---

Computed, not measured: a geometry-optimized BPbI2 structure at the PBE level of DFT.

Properties
* size of the total moment: 0.000 μB/cell
* final energy: -9.96 eV/f.u.
* D(E_F): 3.68 states/eV/f.u.

Lattice parameters (Å, degrees): 7.767 7.767 7.767 126.95 126.95 78.33
Positions (direct):
B 0.000 0.000 0.000
B 0.750 0.250 0.500
Pb 0.250 0.750 0.500
Pb 0.500 0.500 0.000
I 0.375 0.248 0.373
I 0.752 0.125 0.127
I 0.875 0.002 0.627
I 0.998 0.625 0.873

---

Computed, not measured: a geometry-optimized MnNiBi2 structure at the PBE level of DFT.

Properties
* size of the total moment: 7.814 μB/cell
* DFT formation energy: 0.588 eV/atom
* D(E_F): 3.87 states/eV/f.u.

Lattice parameters (Å, degrees): 7.496 7.496 7.496 131.49 131.49 71.03
Positions (direct):
Mn 0.000 0.000 0.000
Mn 0.750 0.250 0.500
Ni 0.250 0.750 0.500
Ni 0.500 0.500 0.000
Bi 0.159 0.625 0.034
Bi 0.375 0.409 0.534
Bi 0.591 0.125 0.966
Bi 0.875 0.841 0.466

---

Computed, not measured: a geometry-optimized Re2RhSe structure at the PBE level of DFT.

Properties
* size of the total moment: 1.208 μB/cell
* final energy: -33.00 eV/f.u.
* D(E_F): 5.50 states/eV/f.u.

Lattice parameters (Å, degrees): 4.444 4.444 4.444 60.00 60.00 60.00
Positions (direct):
Re 0.000 0.000 0.000
Re 0.250 0.250 0.250
Rh 0.750 0.750 0.750
Se 0.500 0.500 0.500

---

Computed, not measured: a geometry-optimized Zr2CrPt structure at the PBE level of DFT.

Properties
* size of the total moment: 3.211 μB/cell
* DFT formation energy: -0.211 eV/atom
* D(E_F): 6.02 states/eV/f.u.

Lattice parameters (Å, degrees): 4.668 4.668 4.668 60.00 60.00 60.00
Positions (direct):
Zr 0.000 0.000 0.000
Zr 0.250 0.250 0.250
Cr 0.500 0.500 0.500
Pt 0.750 0.750 0.750

---

Computed, not measured: a geometry-optimized TaBeP3 structure at the PBE level of DFT.

Properties
* size of the total moment: 0.000 μB/cell
* DFT formation energy: 0.735 eV/atom
* D(E_F): 4.19 states/eV/f.u.

Lattice parameters (Å, degrees): 4.200 4.200 4.200 90.00 90.00 90.00
Positions (direct):
Ta 0.000 0.000 0.000
Be 0.500 0.500 0.500
P 0.000 0.500 0.500
P 0.500 0.000 0.500
P 0.500 0.500 0.000

---

Computed, not measured: a geometry-optimized AcPr2P3 structure at the PBE level of DFT.

Properties
* size of the total moment: 0.000 μB/cell
* DFT formation energy: -1.480 eV/atom
* D(E_F): 0.50 states/eV/f.u.

Lattice parameters (Å, degrees): 7.431 7.431 7.431 146.47 131.79 60.00
Positions (direct):
Ac 0.000 0.000 0.000
Pr 0.333 0.333 0.000
Pr 0.667 0.667 0.000
P 0.173 0.673 0.500
P 0.500 0.000 0.500
P 0.827 0.327 0.500

---

Computed, not measured: a geometry-optimized Pm3Y2ErAs6 structure at the PBE level of DFT.

Properties
* size of the total moment: 0.000 μB/cell
* DFT formation energy: -1.532 eV/atom
* D(E_F): 1.79 states/eV/f.u.

Lattice parameters (Å, degrees): 9.331 9.331 8.345 102.85 102.85 25.87
Positions (direct):
Pm 0.000 0.000 0.000
Pm 0.333 0.333 0.667
Pm 0.667 0.667 0.333
Y 0.334 0.334 0.167
Y 0.666 0.666 0.833
Er 0.000 0.000 0.500
As 0.164 0.164 0.587
As 0.168 0.168 0.080
As 0.499 0.499 0.256
As 0.501 0.501 0.744
As 0.832 0.832 0.920
As 0.836 0.836 0.413

---

Computed, not measured: a geometry-optimized VTc2Ge structure at the PBE level of DFT.

Properties
* size of the total moment: 0.000 μB/cell
* DFT formation energy: 0.509 eV/atom
* D(E_F): 5.79 states/eV/f.u.

Lattice parameters (Å, degrees): 5.489 5.489 5.489 104.62 104.62 119.68
Positions (direct):
V 0.000 0.000 0.000
V 0.750 0.250 0.500
Tc 0.112 0.625 0.987
Tc 0.375 0.362 0.487
Tc 0.638 0.125 0.013
Tc 0.875 0.888 0.513
Ge 0.250 0.750 0.500
Ge 0.500 0.500 0.000